Entry 1:
First-principles (PBE) data for a relaxed structure of Zr2BeRe, as listed in Alexandria.

Cell: 3.2396 3.2396 6.5854 Å, 90.00 90.00 90.00°
Fractional coordinates of all 4 atoms:
Re 0.5000 0.5000 0.6879
Zr 0.0000 0.0000 0.9635
Zr 0.5000 0.5000 0.2974
Be 0.0000 0.0000 0.5512

Total magnetic moment   0.00 μB/cell
Calculated volume   69.1 Å³/f.u.
Total DFT energy (no corrections)   -8.354 eV per atom
Density of states at the Fermi level   4.012 states/eV per cell



Entry 2:
First-principles (PBE) data for a relaxed structure of ZrBe2Re, as listed in Alexandria.

Cell: 4.4495 4.4495 4.4495 Å, 130.04 124.84 77.60°
Fractional coordinates of all 4 atoms:
Re 0.7500 0.2500 0.5000
Zr 0.2500 0.7500 0.5000
Be 0.9948 0.9948 0.0000
Be 0.5052 0.5052 0.0000

Total magnetic moment   0.00 μB/cell
Calculated volume   53.7 Å³/f.u.
Relative energy among the computed polymorphs   142 meV/atom
Total DFT energy (no corrections)   -7.201 eV per atom
Density of states at the Fermi level   0.789 states/eV per cell



Entry 3:
First-principles (PBE) data for a relaxed structure of ZrBe2Re, as listed in Alexandria.

Cell: 4.3303 4.3303 4.3303 Å, 60.00 60.00 60.00°
Fractional coordinates of all 4 atoms:
Re 0.5000 0.5000 0.5000
Zr 0.2500 0.2500 0.2500
Be 0.0000 0.0000 0.0000
Be 0.7500 0.7500 0.7500

Total magnetic moment   0.00 μB/cell
Calculated volume   57.4 Å³/f.u.
Relative energy among the computed polymorphs   574 meV/atom
Total DFT energy (no corrections)   -6.768 eV per atom
Density of states at the Fermi level   4.334 states/eV per cell



Entry 4:
First-principles (PBE) data for a relaxed structure of Zr2BeRe, as listed in Alexandria.

Cell: 2.8762 2.8763 8.5536 Å, 90.00 90.00 104.65°
Fractional coordinates of all 4 atoms:
Re 0.5000 0.5000 0.7067
Zr 0.0000 0.0000 0.9669
Zr 0.5000 0.5000 0.2974
Be 0.0000 0.0000 0.5290

Total magnetic moment   0.00 μB/cell
Calculated volume   68.5 Å³/f.u.
Total DFT energy (no corrections)   -8.155 eV per atom
Density of states at the Fermi level   4.865 states/eV per cell